#w
Density functional theory data (PBE-GGA) for a geometry-optimized Pu2PbF8 structure.

abc: 5.378 7.216 7.216
angles: 40.60 106.73 106.73
Fractional coordinates of all 11 atoms:
F 0.139 0.821 0.821
Pu 0.304 0.306 0.306
F 0.215 0.456 0.456
F 0.861 0.179 0.179
F 0.680 0.598 0.089
F 0.785 0.544 0.544
F 0.320 0.402 0.911
Pb 0.000 0.000 0.000
F 0.680 0.089 0.598
F 0.320 0.911 0.402
Pu 0.696 0.694 0.694

## Properties
symmetry	C2/m (12)
calculated volume	173.4	Å³ per cell
density	8.11	Mg/m³
density of states at the Fermi level	21.19	states/eV/f.u.

=====

#x
Density functional theory data (PBE-GGA) for a geometry-optimized Pu2PbF8 structure.

abc: 3.936 5.860 7.996
angles: 113.84 104.25 90.00
Fractional coordinates of all 11 atoms:
F 0.681 0.403 0.361
F 0.319 0.597 0.639
Pu 0.822 0.328 0.645
F 0.788 0.898 0.576
F 0.212 0.102 0.424
F 0.040 0.292 0.081
F 0.602 0.745 0.205
F 0.398 0.255 0.795
F 0.960 0.708 0.919
Pu 0.178 0.672 0.355
Pb 0.500 0.000 0.000

## Properties
symmetry	C2/m (12)
calculated volume	162.5	Å³ per cell
density	8.66	Mg/m³
density of states at the Fermi level	22.87	states/eV/f.u.

=====

#x wins, 9.2 kJ/mol of atoms ahead of the next structure.

=====

#w
Density functional theory data (PBE-GGA) for a geometry-optimized Rb2PbF5 structure.

abc: 6.835 6.835 6.255
angles: 123.13 123.13 90.00
Fractional coordinates of all 8 atoms:
Rb 0.246 0.746 0.491
F 0.781 0.781 0.022
F 0.241 0.241 0.022
Rb 0.746 0.246 0.491
F 0.740 0.740 0.480
F 0.241 0.781 0.021
Pb 0.003 0.003 0.006
F 0.781 0.241 0.021

## Properties
symmetry	I4mm (107)
calculated volume	185.4	Å³ per cell
density	4.24	Mg/m³
density of states at the Fermi level	1.94	states/eV/f.u.

=====

#x
Density functional theory data (PBE-GGA) for a geometry-optimized Rb2PbF5 structure.

abc: 7.980 5.489 6.986
angles: 106.91 91.39 135.01
Fractional coordinates of all 8 atoms:
F 0.870 0.109 0.240
F 0.786 0.934 0.717
F 0.242 0.107 0.241
F 0.698 0.394 0.907
F 0.149 0.943 0.726
Rb 0.301 0.600 0.638
Pb 0.991 0.985 0.977
Rb 0.739 0.481 0.333

## Properties
symmetry	P1 (1)
calculated volume	194.6	Å³ per cell
density	4.04	Mg/m³
density of states at the Fermi level	2.66	states/eV/f.u.

=====

#x wins, 3.7 kJ/mol of atoms ahead of the next structure.

=====

#w
Density functional theory data (PBE-GGA) for a geometry-optimized RbPb2F structure.

abc: 5.562 5.562 5.562
angles: 60.00 60.00 60.00
Fractional coordinates of all 4 atoms:
Rb 0.500 0.500 0.500
F 0.000 0.000 0.000
Pb 0.250 0.250 0.250
Pb 0.750 0.750 0.750

## Properties
symmetry	Fm-3m (225)
calculated volume	121.7	Å³ per cell
density	7.08	Mg/m³
density of states at the Fermi level	2.88	states/eV/f.u.

=====

#x
Density functional theory data (PBE-GGA) for a geometry-optimized RbPb2F structure.

abc: 6.228 6.228 9.459
angles: 70.78 70.78 90.00
Fractional coordinates of all 8 atoms:
Pb 0.375 0.625 0.250
Pb 0.375 0.125 0.250
F 0.250 0.750 0.500
Rb 0.750 0.250 0.500
Pb 0.375 0.625 0.750
Rb 0.000 0.000 0.000
Pb 0.875 0.625 0.750
F 0.500 0.500 0.000

## Properties
symmetry	I4_1/amd (141)
calculated volume	324.7	Å³ per cell
density	5.31	Mg/m³
density of states at the Fermi level	2.17	states/eV/f.u.

=====

#x wins, 46.7 kJ/mol of atoms ahead of the next structure.

=====

#w
Density functional theory data (PBE-GGA) for a geometry-optimized Re3PbF structure.

abc: 5.468 5.468 5.468
angles: 90.00 90.00 90.00
Fractional coordinates of all 5 atoms:
Re 0.000 0.500 0.000
Re 0.000 0.000 0.500
Re 0.500 0.000 0.000
Pb 0.000 0.000 0.000
F 0.500 0.500 0.500

## Properties
symmetry	Pm-3m (221)
calculated volume	163.5	Å³ per cell
density	7.97	Mg/m³
density of states at the Fermi level	5.64	states/eV/f.u.

=====

#x
Density functional theory data (PBE-GGA) for a geometry-optimized Re3PbF structure.

abc: 4.364 4.364 4.364
angles: 90.00 90.00 90.00
Fractional coordinates of all 5 atoms:
Re 0.500 0.000 0.000
F 0.000 0.000 0.000
Re 0.000 0.000 0.500
Pb 0.500 0.500 0.500
Re 0.000 0.500 0.000

## Properties
symmetry	Pm-3m (221)
calculated volume	83.1	Å³ per cell
density	15.68	Mg/m³
density of states at the Fermi level	5.66	states/eV/f.u.

=====

#x wins, 161.8 kJ/mol of atoms ahead of the next structure.

=====

#w
Density functional theory data (PBE-GGA) for a geometry-optimized RePbF2 structure.

abc: 8.942 8.942 8.942
angles: 18.86 18.86 18.86
Fractional coordinates of all 4 atoms:
Re 0.500 0.500 0.500
F 0.097 0.097 0.097
F 0.903 0.903 0.903
Pb 0.000 0.000 0.000

## Properties
symmetry	R-3m (166)
calculated volume	65.3	Å³ per cell
density	10.98	Mg/m³
density of states at the Fermi level	1.92	states/eV/f.u.

=====

#x
Density functional theory data (PBE-GGA) for a geometry-optimized RePbF2 structure.

abc: 4.144 4.144 8.505
angles: 75.90 75.90 90.00
Fractional coordinates of all 8 atoms:
Re 0.250 0.750 0.500
Pb 0.750 0.250 0.500
F 0.875 0.797 0.750
F 0.203 0.625 0.250
Re 0.500 0.500 0.000
F 0.547 0.125 0.250
Pb 0.000 0.000 0.000
F 0.375 0.453 0.750

## Properties
symmetry	I-42d (122)
calculated volume	137.1	Å³ per cell
density	10.45	Mg/m³
density of states at the Fermi level	0.16	states/eV/f.u.

=====

#x wins, 15.4 kJ/mol of atoms ahead of the next structure.

=====

#w
Density functional theory data (PBE-GGA) for a geometry-optimized RePbF2 structure.

abc: 8.740 8.740 8.740
angles: 19.58 19.58 19.58
Fractional coordinates of all 4 atoms:
Pb 0.500 0.500 0.500
F 0.923 0.923 0.923
Re 0.000 0.000 0.000
F 0.077 0.077 0.077

## Properties
symmetry	R-3m (166)
calculated volume	65.5	Å³ per cell
density	10.93	Mg/m³
density of states at the Fermi level	3.88	states/eV/f.u.

=====

#x
Density functional theory data (PBE-GGA) for a geometry-optimized RePbF2 structure.

abc: 4.599 4.599 4.599
angles: 60.00 60.00 60.00
Fractional coordinates of all 4 atoms:
Pb 0.500 0.500 0.500
F 0.250 0.250 0.250
F 0.750 0.750 0.750
Re 0.000 0.000 0.000

## Properties
symmetry	Fm-3m (225)
calculated volume	68.8	Å³ per cell
density	10.41	Mg/m³
density of states at the Fermi level	3.86	states/eV/f.u.

=====

#w wins, 84.9 kJ/mol of atoms ahead of the next structure.

=====

#w
Density functional theory data (PBE-GGA) for a geometry-optimized Rh3PbF structure.

abc: 5.104 5.104 5.104
angles: 90.00 90.00 90.00
Fractional coordinates of all 5 atoms:
Rh 0.000 0.000 0.500
Rh 0.000 0.500 0.000
Rh 0.500 0.000 0.000
F 0.500 0.500 0.500
Pb 0.000 0.000 0.000

## Properties
symmetry	Pm-3m (221)
calculated volume	133.0	Å³ per cell
density	6.68	Mg/m³
density of states at the Fermi level	5.42	states/eV/f.u.

=====

#x
Density functional theory data (PBE-GGA) for a geometry-optimized Rh3PbF structure.

abc: 4.396 4.396 4.396
angles: 90.00 90.00 90.00
Fractional coordinates of all 5 atoms:
Rh 0.000 0.500 0.000
F 0.000 0.000 0.000
Rh 0.000 0.000 0.500
Pb 0.500 0.500 0.500
Rh 0.500 0.000 0.000

## Properties
symmetry	Pm-3m (221)
calculated volume	84.9	Å³ per cell
density	10.46	Mg/m³
density of states at the Fermi level	5.18	states/eV/f.u.

=====

#x wins, 91.1 kJ/mol of atoms ahead of the next structure.

=====

#w
Density functional theory data (PBE-GGA) for a geometry-optimized RhPb3F structure.

abc: 5.299 5.299 5.299
angles: 90.00 90.00 90.00
Fractional coordinates of all 5 atoms:
F 0.500 0.500 0.500
Pb 0.000 0.000 0.500
Pb 0.000 0.500 0.000
Pb 0.500 0.000 0.000
Rh 0.000 0.000 0.000

## Properties
symmetry	Pm-3m (221)
calculated volume	148.8	Å³ per cell
density	8.30	Mg/m³
density of states at the Fermi level	3.42	states/eV/f.u.

=====

#x
Density functional theory data (PBE-GGA) for a geometry-optimized RhPb3F structure.

abc: 4.957 4.957 4.957
angles: 90.00 90.00 90.00
Fractional coordinates of all 5 atoms:
Pb 0.000 0.000 0.500
Pb 0.500 0.000 0.000
Rh 0.500 0.500 0.500
F 0.000 0.000 0.000
Pb 0.000 0.500 0.000

## Properties
symmetry	Pm-3m (221)
calculated volume	121.8	Å³ per cell
density	10.14	Mg/m³
density of states at the Fermi level	4.94	states/eV/f.u.

=====

#w wins, 13.4 kJ/mol of atoms ahead of the next structure.

=====

#w
Density functional theory data (PBE-GGA) for a geometry-optimized Rh2PbF structure.

abc: 4.487 4.487 4.487
angles: 60.00 60.00 60.00
Fractional coordinates of all 4 atoms:
Pb 0.500 0.500 0.500
Rh 0.750 0.750 0.750
F 0.000 0.000 0.000
Rh 0.250 0.250 0.250

## Properties
symmetry	Fm-3m (225)
calculated volume	63.9	Å³ per cell
density	11.23	Mg/m³
density of states at the Fermi level	3.26	states/eV/f.u.

=====

#x
Density functional theory data (PBE-GGA) for a geometry-optimized Rh2PbF structure.

abc: 3.658 3.658 10.885
angles: 80.33 80.33 90.00
Fractional coordinates of all 8 atoms:
Rh 0.375 0.376 0.750
Pb 0.000 0.000 0.000
F 0.250 0.750 0.500
Rh 0.126 0.625 0.250
Rh 0.624 0.125 0.250
F 0.500 0.500 0.000
Rh 0.875 0.874 0.750
Pb 0.750 0.250 0.500

## Properties
symmetry	I-42d (122)
calculated volume	141.5	Å³ per cell
density	10.14	Mg/m³
density of states at the Fermi level	3.84	states/eV/f.u.

=====

#x wins, 10.8 kJ/mol of atoms ahead of the next structure.

=====

#w
Density functional theory data (PBE-GGA) for a geometry-optimized RuPbF2 structure.

abc: 4.454 4.454 4.454
angles: 60.00 60.00 60.00
Fractional coordinates of all 4 atoms:
Pb 0.500 0.500 0.500
Ru 0.000 0.000 0.000
F 0.250 0.250 0.250
F 0.750 0.750 0.750

## Properties
symmetry	Fm-3m (225)
calculated volume	62.5	Å³ per cell
density	9.20	Mg/m³
density of states at the Fermi level	2.78	states/eV/f.u.

=====

#x
Density functional theory data (PBE-GGA) for a geometry-optimized RuPbF2 structure.

abc: 4.110 4.110 8.393
angles: 75.83 75.83 90.00
Fractional coordinates of all 8 atoms:
F 0.575 0.125 0.250
Ru 0.500 0.500 0.000
F 0.875 0.825 0.750
Pb 0.000 0.000 0.000
F 0.375 0.425 0.750
Pb 0.750 0.250 0.500
F 0.175 0.625 0.250
Ru 0.250 0.750 0.500

## Properties
symmetry	I-42d (122)
calculated volume	133.0	Å³ per cell
density	8.65	Mg/m³
density of states at the Fermi level	3.90	states/eV/f.u.

=====

#x wins, 20.5 kJ/mol of atoms ahead of the next structure.

=====

#w
Density functional theory data (PBE-GGA) for a geometry-optimized Ru3PbF structure.

abc: 5.110 5.110 5.110
angles: 90.00 90.00 90.00
Fractional coordinates of all 5 atoms:
Ru 0.500 0.000 0.000
Ru 0.000 0.500 0.000
Ru 0.000 0.000 0.500
F 0.500 0.500 0.500
Pb 0.000 0.000 0.000

## Properties
symmetry	Pm-3m (221)
calculated volume	133.4	Å³ per cell
density	6.59	Mg/m³
density of states at the Fermi level	7.95	states/eV/f.u.

=====

#x
Density functional theory data (PBE-GGA) for a geometry-optimized Ru3PbF structure.

abc: 4.303 4.303 4.303
angles: 90.00 90.00 90.00
Fractional coordinates of all 5 atoms:
Ru 0.000 0.500 0.000
Ru 0.500 0.000 0.000
Ru 0.000 0.000 0.500
F 0.000 0.000 0.000
Pb 0.500 0.500 0.500

## Properties
symmetry	Pm-3m (221)
calculated volume	79.7	Å³ per cell
density	11.03	Mg/m³
density of states at the Fermi level	8.81	states/eV/f.u.

=====

#x wins, 110.2 kJ/mol of atoms ahead of the next structure.

=====

#w
Density functional theory data (PBE-GGA) for a geometry-optimized TiRu2PbF structure.

abc: 4.771 3.812 4.771
angles: 90.00 90.00 90.00
Fractional coordinates of all 5 atoms:
Ru 0.500 0.000 0.000
Ti 0.000 0.000 0.000
Ru 0.000 0.000 0.500
F 0.000 0.500 0.000
Pb 0.500 0.500 0.500

## Properties
symmetry	P4/mmm (123)
calculated volume	86.8	Å³ per cell
density	9.11	Mg/m³
density of states at the Fermi level	3.65	states/eV/f.u.

=====

#x
Density functional theory data (PBE-GGA) for a geometry-optimized TiRu2PbF structure.

abc: 4.214 4.734 4.214
angles: 90.00 90.00 90.00
Fractional coordinates of all 5 atoms:
Pb 0.000 0.500 0.000
Ru 0.000 0.000 0.500
Ti 0.500 0.500 0.500
Ru 0.500 0.000 0.000
F 0.000 0.000 0.000

## Properties
symmetry	P4/mmm (123)
calculated volume	84.1	Å³ per cell
density	9.41	Mg/m³
density of states at the Fermi level	5.55	states/eV/f.u.

=====

#w wins, 62.7 kJ/mol of atoms ahead of the next structure.

=====

#w
Density functional theory data (PBE-GGA) for a geometry-optimized PbSF2 structure.

abc: 8.140 8.140 8.140
angles: 23.32 23.32 23.32
Fractional coordinates of all 4 atoms:
Pb 0.500 0.500 0.500
S 0.000 0.000 0.000
F 0.920 0.920 0.920
F 0.080 0.080 0.080

## Properties
symmetry	R-3m (166)
calculated volume	74.2	Å³ per cell
density	6.21	Mg/m³
density of states at the Fermi level	2.33	states/eV/f.u.

=====

#x
Density functional theory data (PBE-GGA) for a geometry-optimized PbSF2 structure.

abc: 7.427 7.427 7.427
angles: 30.68 30.68 30.68
Fractional coordinates of all 4 atoms:
F 0.285 0.285 0.285
Pb 0.000 0.000 0.000
F 0.715 0.715 0.715
S 0.500 0.500 0.500

## Properties
symmetry	R-3m (166)
calculated volume	94.6	Å³ per cell
density	4.87	Mg/m³
density of states at the Fermi level	1.37	states/eV/f.u.

=====

#y
Density functional theory data (PBE-GGA) for a geometry-optimized PbSF2 structure.

abc: 4.205 4.205 8.581
angles: 75.82 75.82 90.00
Fractional coordinates of all 8 atoms:
Pb 0.750 0.250 0.500
F 0.375 0.400 0.750
F 0.875 0.850 0.750
S 0.250 0.750 0.500
F 0.600 0.125 0.250
Pb 0.000 0.000 0.000
F 0.150 0.625 0.250
S 0.500 0.500 0.000

## Properties
symmetry	I-42d (122)
calculated volume	142.4	Å³ per cell
density	6.47	Mg/m³
density of states at the Fermi level	1.76	states/eV/f.u.

=====

#x wins, 2.6 kJ/mol of atoms ahead of the next structure.